[1]
The following is a DFT calculation (PBE) of crystalline AcPuTlPt at its relaxed geometry.

Cell lengths 7.6375, 7.6375, 7.6375 Å; angles 90.00, 90.00, 90.00 degrees
Space group F-43m (No. 216)
Unique sites:
Ac: 0.0000 0.0000 0.0000
Pu: 0.0000 0.0000 0.5000
Tl: 0.2500 0.2500 0.7500
Pt: 0.2500 0.2500 0.2500

Results
* energy: -28.3 eV/f.u.



[2]
The following is a DFT calculation (PBE) of crystalline AcPuZnPt at its relaxed geometry.

Cell lengths 7.4013, 7.4013, 7.4013 Å; angles 90.00, 90.00, 90.00 degrees
Space group F-43m (No. 216)
Unique sites:
Ac: 0.0000 0.0000 0.0000
Pu: 0.0000 0.0000 0.5000
Zn: 0.2500 0.2500 0.7500
Pt: 0.2500 0.2500 0.2500

Results
* energy: -27.6 eV/f.u.